Here is Ca2Si2I at its PBEsol-relaxed geometry from the Alexandria database. Energies are from meta-GGA SCAN.

ΔE_f (raw)	-0.555	eV per atom
E_tot	-78.88	eV/f.u.
space-group type	P4/mbm
magnetic moment	0.000	μB per formula unit

Cell: 4.083 8.212 8.212 Å, 90.00 90.00 90.00°
Fractional positions:
I1 0.000 0.000 0.000
I2 0.000 0.500 0.500
Ca1 0.000 0.181 0.319
Ca2 0.000 0.819 0.681
Ca3 0.000 0.681 0.181
Ca4 0.000 0.319 0.819
Si1 0.500 0.596 0.904
Si2 0.500 0.904 0.404
Si3 0.500 0.404 0.096
Si4 0.500 0.096 0.596


Here is BaAlIn2 at its PBEsol-relaxed geometry from the Alexandria database. Energies are from meta-GGA SCAN.

ΔE_f	-0.21	eV per atom
E_tot	-114.90	eV/f.u.
space-group type	P2/m
magnetic moment	0.000	μB per formula unit

Cell: 3.456 4.647 7.146 Å, 90.00 101.21 90.00°
Fractional positions:
Ba1 0.000 0.500 0.500
Al1 0.500 0.500 0.000
In1 0.339 0.000 0.197
In2 0.661 0.000 0.803